1.
A geometry-optimized YCu2Ir structure. Source: Alexandria via LeMat-Bulk, functional PBE-GGA.

ρ ... 8.99 Mg/m³
E ... -47.4 eV per cell
Crystal system ... tetragonal
ΔE_f ... -0.047 eV/atom
Offset from the most stable computed form ... 234.7 meV/atom

Cell: 9.5642 9.5642 9.5642 Å, 155.45 155.45 34.99°
Closest atoms and distances in Å follow each position.
Element x y z (fractional)
Y 0.0000 0.0000 0.0000  4 Ir 2.88, 4 Cu 2.90
Y 0.7500 0.2500 0.5000  4 Ir 2.88, 4 Cu 2.90
Cu 0.2354 0.6250 0.1104  2 Cu 2.33, 2 Ir 2.56
Cu 0.3750 0.4854 0.6104  2 Cu 2.33, 2 Ir 2.56
Cu 0.5146 0.1250 0.8896  2 Cu 2.33, 2 Ir 2.56
Cu 0.8750 0.7646 0.3896  2 Cu 2.33, 2 Ir 2.56
Ir 0.2500 0.7500 0.5000  4 Cu 2.56
Ir 0.5000 0.5000 0.0000  4 Cu 2.56

***

2.
A geometry-optimized HfSc4Ru5 structure. Source: Alexandria via LeMat-Bulk, functional PBE-GGA.

ρ ... 8.62 Mg/m³
E ... -87.8 eV per cell
Crystal system ... tetragonal
ΔE_f ... -0.616 eV/atom

Cell: 3.2191 3.2191 16.0569 Å, 90.00 90.00 90.00°
Closest atoms and distances in Å follow each position.
Element x y z (fractional)
Hf 0.0000 0.0000 0.0000  8 Ru 2.77
Sc 0.0000 0.0000 0.2024  8 Ru 2.76-2.83
Sc 0.0000 0.0000 0.4004  8 Ru 2.78-2.79
Sc 0.0000 0.0000 0.5996  8 Ru 2.78-2.79
Sc 0.0000 0.0000 0.7976  8 Ru 2.76-2.83
Ru 0.5000 0.5000 0.0981  4 Hf 2.77, 4 Sc 2.83
Ru 0.5000 0.5000 0.3001  8 Sc 2.76-2.79
Ru 0.5000 0.5000 0.5000  8 Sc 2.78
Ru 0.5000 0.5000 0.6999  8 Sc 2.76-2.79
Ru 0.5000 0.5000 0.9019  4 Hf 2.77, 4 Sc 2.83

***

3.
A geometry-optimized UGe2Au structure. Source: Alexandria via LeMat-Bulk, functional PBE-GGA.

ρ ... 12.22 Mg/m³
E ... -24.7 eV per cell
Crystal system ... tetragonal
ΔE_f ... -0.223 eV/atom
Offset from the most stable computed form ... 32.0 meV/atom

Cell: 4.4610 4.4610 3.9617 Å, 90.00 90.00 90.00°
Closest atoms and distances in Å follow each position.
Element x y z (fractional)
U 0.0000 0.0000 0.0000  8 Ge 2.98, 4 Au 3.15
Ge 0.0000 0.5000 0.5000  4 U 2.98, 4 Au 2.98, 4 Ge 3.15
Ge 0.5000 0.0000 0.5000  4 U 2.98, 4 Au 2.98, 4 Ge 3.15
Au 0.5000 0.5000 0.0000  8 Ge 2.98, 4 U 3.15